A relaxed structure of ErAs2PdO8. Source: Alexandria via LeMat-Bulk, functional GGA-PBE.

**Formation energy (no corrections)**: -1.371 eV/atom

Structure (CIF):
```
data_ErAs2PdO8
_symmetry_space_group_name_H-M 'I -4 m 2'
_symmetry_Int_Tables_number 119
_symmetry_space_group_name_Hall 'I -4 -2'
_cell_length_a 7.062
_cell_length_b 7.062
_cell_length_c 6.351
_cell_angle_alpha 90.00
_cell_angle_beta 90.00
_cell_angle_gamma 90.00
loop_
_atom_site_label
_atom_site_type_symbol
_atom_site_fract_x
_atom_site_fract_y
_atom_site_fract_z
Er1 Er 0.000 0.000 0.000
As1 As 0.000 0.000 0.500
As2 As 0.000 0.500 0.250
Pd1 Pd 0.000 0.500 0.750
O1 O 0.000 0.181 0.685
O2 O 0.000 0.316 0.073
```